No. 1
Here is a relaxed K2IrPt crystal from Alexandria via LeMat-Bulk. Energies are from PBE.

Output
E_form	61	kJ per mole of atoms
energy above the most stable polymorph in this dataset	0.388	eV per atom

Lattice parameters (Å, degrees): 4.003 4.016 10.531 90.00 90.00 90.00
Space group Immm (No. 71)
Inequivalent atoms, fractional coordinates:
K (0.000, 0.000, 0.250)
Ir (0.000, 0.500, 0.000)
Pt (0.000, 0.500, 0.500)

=====

No. 2
Here is a relaxed Pr4Ho2Tm5 crystal from Alexandria via LeMat-Bulk. Energies are from PBE.

Output
E_form	10	kJ per mole of atoms

Lattice parameters (Å, degrees): 19.124 5.650 6.632 90.00 90.73 90.00
Space group C2/m (No. 12)
Inequivalent atoms, fractional coordinates:
Pr (0.022, 0.000, 0.286)
Pr (0.193, 0.500, 0.074)
Ho (0.099, 0.500, 0.557)
Tm (0.000, 0.500, 0.000)
Tm (0.131, 0.000, 0.884)
Tm (0.210, 0.000, 0.402)